{"formula": "MnIn2Cl", "functional": "GGA-PBE", "state": "optimized geometry", "energy_ev_per_atom": -3.909, "relative_energy_mev_per_atom": 349, "e_form_raw_ev_per_atom": 0.21, "lattice_angstrom": [[0.000, 3.652, 3.652], [3.652, 0.000, 3.652], [3.652, 3.652, 0.000]], "species": ["Cl", "In", "In", "Mn"], "fractional_positions": [[0.000, 0.000, 0.000], [0.250, 0.250, 0.250], [0.750, 0.750, 0.750], [0.500, 0.500, 0.500]]}